# NdSm2Zr

A relaxed structure of NdSm2Zr (GGA-PBE, Alexandria).

Cell lengths 4.0787, 4.0787, 7.4073 Å; angles 90.00, 90.00, 90.00 degrees
With the nearest neighbours (Å) after each atom.
Fractional positions:
Nd (0.0000, 0.0000, 0.0000)  8 Sm 3.55, 2 Zr 3.70
Sm (0.5000, 0.5000, 0.2805)  1 Sm 3.25, 4 Zr 3.31, 4 Nd 3.55
Sm (0.5000, 0.5000, 0.7195)  1 Sm 3.25, 4 Zr 3.31, 4 Nd 3.55
Zr (0.0000, 0.0000, 0.5000)  8 Sm 3.31, 2 Nd 3.70

Computed properties:
* distance to the lowest polymorph of the same formula: 71 meV/atom
* calculated formation energy: 0.18 eV/atom
* DOS(E_F): 7.54 states/eV per cell
* calculated total energy: -22.0 eV/cell
* volume: 30.81 A^3/atom
* SG: No. 123

# NdSmZr

A relaxed structure of NdSmZr (GGA-PBE, Alexandria).

Cell lengths 8.0034, 8.0034, 8.0034 Å; angles 155.23, 155.23, 35.31 degrees
With the nearest neighbours (Å) after each atom.
Fractional positions:
Nd (0.0000, 0.0000, 0.0000)  4 Zr 3.41, 4 Nd 3.43, 4 Sm 3.78
Sm (0.6901, 0.6901, 0.0000)  4 Zr 3.37, 4 Sm 3.43
Zr (0.3429, 0.3429, 0.0000)  4 Sm 3.37, 4 Nd 3.41, 4 Zr 3.43

Computed properties:
* distance to the lowest polymorph of the same formula: 26 meV/atom
* calculated formation energy: 0.12 eV/atom
* DOS(E_F): 4.11 states/eV per cell
* calculated total energy: -17.7 eV/cell
* volume: 29.96 A^3/atom
* SG: No. 107

# NdSm2Zr

A relaxed structure of NdSm2Zr (GGA-PBE, Alexandria).

Cell lengths 5.5824, 5.5824, 5.5824 Å; angles 60.00, 60.00, 60.00 degrees
With the nearest neighbours (Å) after each atom.
Fractional positions:
Nd (0.0000, 0.0000, 0.0000)  8 Sm 3.42
Sm (0.2500, 0.2500, 0.2500)  4 Zr 3.42, 4 Nd 3.42
Sm (0.7500, 0.7500, 0.7500)  4 Zr 3.42, 4 Nd 3.42
Zr (0.5000, 0.5000, 0.5000)  8 Sm 3.42

Computed properties:
* distance to the lowest polymorph of the same formula: 140 meV/atom
* calculated formation energy: 0.25 eV/atom
* DOS(E_F): 8.80 states/eV per cell
* calculated total energy: -21.8 eV/cell
* volume: 30.75 A^3/atom
* SG: No. 225

# NdSm14Zr

A relaxed structure of NdSm14Zr (GGA-PBE, Alexandria).

Cell lengths 7.2098, 7.2098, 10.1602 Å; angles 90.00, 90.00, 90.00 degrees
With the nearest neighbours (Å) after each atom.
Fractional positions:
Nd (0.0000, 0.0000, 0.0000)  12 Sm 3.60
Sm (0.0000, 0.0000, 0.5000)  12 Sm 3.60-3.68
Sm (0.0000, 0.5000, 0.0000)  8 Sm 3.56, 2 Zr 3.60, 2 Nd 3.60
Sm (0.0000, 0.5000, 0.5000)  12 Sm 3.60-3.64
Sm (0.2560, 0.2560, 0.2444)  1 Zr 3.51, 10 Sm 3.52-3.69, 1 Nd 3.60
Sm (0.2560, 0.2560, 0.7556)  1 Zr 3.51, 10 Sm 3.52-3.69, 1 Nd 3.60
Sm (0.2560, 0.7440, 0.2444)  1 Zr 3.51, 10 Sm 3.52-3.69, 1 Nd 3.60
Sm (0.2560, 0.7440, 0.7556)  1 Zr 3.51, 10 Sm 3.52-3.69, 1 Nd 3.60
Sm (0.5000, 0.0000, 0.0000)  8 Sm 3.56, 2 Zr 3.60, 2 Nd 3.60
Sm (0.5000, 0.0000, 0.5000)  12 Sm 3.60-3.64
Sm (0.5000, 0.5000, 0.5000)  12 Sm 3.60
Sm (0.7440, 0.2560, 0.2444)  1 Zr 3.51, 10 Sm 3.52-3.69, 1 Nd 3.60
Sm (0.7440, 0.2560, 0.7556)  1 Zr 3.51, 10 Sm 3.52-3.69, 1 Nd 3.60
Sm (0.7440, 0.7440, 0.2444)  1 Zr 3.51, 10 Sm 3.52-3.69, 1 Nd 3.60
Sm (0.7440, 0.7440, 0.7556)  1 Zr 3.51, 10 Sm 3.52-3.69, 1 Nd 3.60
Zr (0.5000, 0.5000, 0.0000)  12 Sm 3.51-3.60

Computed properties:
* calculated formation energy: 0.04 eV/atom
* DOS(E_F): 22.85 states/eV per cell
* calculated total energy: -78.7 eV/cell
* volume: 33.01 A^3/atom
* SG: No. 123

# NdSmZr

A relaxed structure of NdSmZr (GGA-PBE, Alexandria).

Cell lengths 3.4691, 3.4691, 8.6287 Å; angles 90.00, 90.00, 120.00 degrees
With the nearest neighbours (Å) after each atom.
Fractional positions:
Nd (0.0000, 0.0000, 0.0000)  3 Zr 3.37, 6 Nd 3.47
Sm (0.6667, 0.3333, 0.3773)  3 Zr 3.33, 6 Sm 3.47
Zr (0.3333, 0.6667, 0.6863)  3 Sm 3.33, 3 Nd 3.37, 6 Zr 3.47

Computed properties:
* distance to the lowest polymorph of the same formula: 43 meV/atom
* calculated formation energy: 0.13 eV/atom
* DOS(E_F): 3.71 states/eV per cell
* calculated total energy: -17.6 eV/cell
* volume: 29.98 A^3/atom
* SG: No. 156

# NdSmZr

A relaxed structure of NdSmZr (GGA-PBE, Alexandria).

Cell lengths 3.8190, 3.8337, 12.7171 Å; angles 90.00, 90.07, 90.00 degrees
With the nearest neighbours (Å) after each atom.
Fractional positions:
Nd (0.2495, 0.2500, 0.4036)  8 Nd 3.65-3.83, 4 Sm 3.69
Nd (0.7505, 0.7500, 0.5964)  8 Nd 3.65-3.83, 4 Sm 3.69
Sm (0.2518, 0.2500, 0.7934)  5 Zr 3.27-3.36
Sm (0.7482, 0.7500, 0.2066)  5 Zr 3.27-3.36
Zr (0.2496, 0.2500, 0.0504)  4 Zr 2.99-3.00, 1 Sm 3.27
Zr (0.7504, 0.7500, 0.9496)  4 Zr 2.99-3.00, 1 Sm 3.27

Computed properties:
* distance to the lowest polymorph of the same formula: 0 meV/atom
* calculated formation energy: 0.09 eV/atom
* DOS(E_F): 8.79 states/eV per cell
* calculated total energy: -35.5 eV/cell
* volume: 31.03 A^3/atom
* SG: No. 11

# NdSm2Zr

A relaxed structure of NdSm2Zr (GGA-PBE, Alexandria).

Cell lengths 11.7005, 11.7005, 11.7005 Å; angles 17.26, 17.26, 17.26 degrees
With the nearest neighbours (Å) after each atom.
Fractional positions:
Nd (0.0000, 0.0000, 0.0000)  6 Nd 3.51, 6 Sm 3.68-3.72
Sm (0.5777, 0.5777, 0.5777)  3 Zr 3.34, 6 Sm 3.51, 3 Nd 3.68
Sm (0.7570, 0.7570, 0.7570)  3 Zr 3.35, 6 Sm 3.51, 3 Nd 3.72
Zr (0.1674, 0.1674, 0.1674)  6 Sm 3.34-3.35, 6 Zr 3.51

Computed properties:
* distance to the lowest polymorph of the same formula: 0 meV/atom
* calculated formation energy: 0.11 eV/atom
* DOS(E_F): 5.36 states/eV per cell
* calculated total energy: -22.3 eV/cell
* volume: 30.76 A^3/atom
* SG: No. 160

# NdSm2Zr

A relaxed structure of NdSm2Zr (GGA-PBE, Alexandria).

Cell lengths 12.3717, 12.3717, 12.3717 Å; angles 15.91, 15.91, 15.91 degrees
With the nearest neighbours (Å) after each atom.
Fractional positions:
Nd (0.0000, 0.0000, 0.0000)  6 Nd 3.42, 6 Sm 3.59
Sm (0.4152, 0.4152, 0.4152)  1 Zr 3.11, 6 Sm 3.42
Sm (0.5848, 0.5848, 0.5848)  1 Zr 3.11, 6 Sm 3.42
Zr (0.5000, 0.5000, 0.5000)  2 Sm 3.11, 6 Zr 3.42

Computed properties:
* distance to the lowest polymorph of the same formula: 219 meV/atom
* calculated formation energy: 0.33 eV/atom
* DOS(E_F): 5.05 states/eV per cell
* calculated total energy: -21.4 eV/cell
* volume: 31.00 A^3/atom
* SG: No. 166

# NdSm2Zr

A relaxed structure of NdSm2Zr (GGA-PBE, Alexandria).

Cell lengths 4.9569, 4.9569, 4.9807 Å; angles 90.00, 90.00, 90.00 degrees
With the nearest neighbours (Å) after each atom.
Fractional positions:
Nd (0.0000, 0.0000, 0.0000)  4 Zr 3.51, 8 Sm 3.51
Sm (0.0000, 0.5000, 0.5000)  4 Sm 3.51, 4 Zr 3.51, 4 Nd 3.51
Sm (0.5000, 0.0000, 0.5000)  4 Sm 3.51, 4 Zr 3.51, 4 Nd 3.51
Zr (0.5000, 0.5000, 0.0000)  4 Nd 3.51, 8 Sm 3.51

Computed properties:
* distance to the lowest polymorph of the same formula: 21 meV/atom
* calculated formation energy: 0.13 eV/atom
* DOS(E_F): 4.27 states/eV per cell
* calculated total energy: -22.2 eV/cell
* volume: 30.59 A^3/atom
* SG: No. 123

# Nd3Sm12Zr

A relaxed structure of Nd3Sm12Zr (GGA-PBE, Alexandria).

Cell lengths 5.1007, 5.1007, 20.3877 Å; angles 90.00, 90.00, 90.00 degrees
With the nearest neighbours (Å) after each atom.
Fractional positions:
Nd (0.0000, 0.0000, 0.0000)  12 Sm 3.61-3.64
Nd (0.0000, 0.0000, 0.2535)  12 Sm 3.61-3.68
Nd (0.0000, 0.0000, 0.7465)  12 Sm 3.61-3.68
Sm (0.0000, 0.5000, 0.1273)  8 Sm 3.61-3.64, 4 Nd 3.62-3.64
Sm (0.0000, 0.5000, 0.3834)  8 Sm 3.49-3.66, 2 Zr 3.49, 2 Nd 3.68
Sm (0.0000, 0.5000, 0.6166)  8 Sm 3.49-3.66, 2 Zr 3.49, 2 Nd 3.68
Sm (0.0000, 0.5000, 0.8727)  8 Sm 3.61-3.64, 4 Nd 3.62-3.64
Sm (0.5000, 0.0000, 0.1273)  8 Sm 3.61-3.64, 4 Nd 3.62-3.64
Sm (0.5000, 0.0000, 0.3834)  8 Sm 3.49-3.66, 2 Zr 3.49, 2 Nd 3.68
Sm (0.5000, 0.0000, 0.6166)  8 Sm 3.49-3.66, 2 Zr 3.49, 2 Nd 3.68
Sm (0.5000, 0.0000, 0.8727)  8 Sm 3.61-3.64, 4 Nd 3.62-3.64
Sm (0.5000, 0.5000, 0.0000)  4 Nd 3.61, 8 Sm 3.64
Sm (0.5000, 0.5000, 0.2544)  4 Nd 3.61, 8 Sm 3.64-3.66
Sm (0.5000, 0.5000, 0.5000)  8 Sm 3.49, 4 Zr 3.61
Sm (0.5000, 0.5000, 0.7456)  4 Nd 3.61, 8 Sm 3.64-3.66
Zr (0.0000, 0.0000, 0.5000)  12 Sm 3.49-3.61

Computed properties:
* calculated formation energy: 0.04 eV/atom
* DOS(E_F): 22.46 states/eV per cell
* calculated total energy: -78.8 eV/cell
* volume: 33.15 A^3/atom
* SG: No. 123

# NdSn2

A relaxed structure of NdSn2 (GGA-PBE, Alexandria).

Cell lengths 4.4331, 4.4331, 5.0148 Å; angles 106.95, 106.95, 91.32 degrees
With the nearest neighbours (Å) after each atom.
Fractional positions:
Nd (0.0000, 0.0000, 0.0000)  10 Sn 3.24-3.57
Sn (0.3669, 0.3669, 0.6875)  2 Sn 2.87-2.97
Sn (0.6331, 0.6331, 0.3125)  2 Sn 2.87-2.97

Computed properties:
* calculated formation energy: -0.42 eV/atom
* DOS(E_F): 2.39 states/eV per cell
* calculated total energy: -14.0 eV/cell
* volume: 29.85 A^3/atom
* SG: No. 12

# Nd2Sn3

A relaxed structure of Nd2Sn3 (GGA-PBE, Alexandria).

Cell lengths 7.8007, 7.8007, 4.6750 Å; angles 90.00, 90.00, 90.00 degrees
With the nearest neighbours (Å) after each atom.
Fractional positions:
Nd (0.1457, 0.6955, 0.0000)  9 Sn 3.16-3.52
Nd (0.3045, 0.1457, 0.0000)  9 Sn 3.16-3.52
Nd (0.6955, 0.8543, 0.0000)  9 Sn 3.16-3.52
Nd (0.8543, 0.3045, 0.0000)  9 Sn 3.16-3.52
Sn (0.0000, 0.0000, 0.5000)  4 Sn 3.39, 8 Nd 3.52
Sn (0.1721, 0.3987, 0.5000)  2 Sn 3.12-3.39, 6 Nd 3.23-3.49
Sn (0.3987, 0.8279, 0.5000)  2 Sn 3.12-3.39, 6 Nd 3.23-3.49
Sn (0.5000, 0.5000, 0.0000)  4 Nd 3.16
Sn (0.6013, 0.1721, 0.5000)  2 Sn 3.12-3.39, 6 Nd 3.23-3.49
Sn (0.8279, 0.6013, 0.5000)  2 Sn 3.12-3.39, 6 Nd 3.23-3.49

Computed properties:
* distance to the lowest polymorph of the same formula: 41 meV/atom
* calculated formation energy: -0.66 eV/atom
* DOS(E_F): 7.55 states/eV per cell
* calculated total energy: -49.7 eV/cell
* volume: 28.45 A^3/atom
* SG: No. 83